# 1
LaMnAl2, optimized geometry, DFT PBE-GGA; space group = P4/mmm, No. 123; formation energy = 0.011 eV per atom
1.0
4.287 0.822 0.000
-0.818 4.288 0.000
0.000 0.000 4.552
Mn Al La
1 2 1
Direct
0.000 0.500 0.500
0.000 0.000 0.000
0.500 0.500 0.000
0.500 0.000 0.500

# 2
LaMnAl, optimized geometry, DFT PBE-GGA; space group = F-43m, No. 216; formation energy = 0.745 eV per atom
1.0
4.969 0.000 0.000
2.484 4.303 0.000
2.484 1.434 4.057
La Mn Al
1 1 1
Direct
0.250 0.250 0.250
0.000 0.000 0.000
0.500 0.500 0.500

# 3
LaMnAl2, optimized geometry, DFT PBE-GGA; space group = Cmmm, No. 65; formation energy = 0.158 eV per atom
1.0
6.716 -0.011 -0.039
-2.682 4.919 0.050
1.351 0.711 2.577
Al La Mn
2 1 1
Direct
0.500 0.000 0.500
0.000 0.000 0.000
0.000 0.500 0.500
0.500 0.500 0.000

# 4
LaMnAl, optimized geometry, DFT PBE-GGA; space group = I4/mmm, No. 139; formation energy = -0.080 eV per atom
1.0
4.286 0.000 0.000
0.000 4.286 0.000
-2.143 -2.143 7.535
Al Mn La
2 2 2
Direct
0.500 0.000 0.000
0.000 0.500 0.000
0.094 0.094 0.189
0.906 0.906 0.811
0.335 0.335 0.669
0.665 0.665 0.331

# 5
LaMnAl, optimized geometry, DFT PBE-GGA; space group = F-43m, No. 216; formation energy = 0.190 eV per atom
1.0
4.751 0.000 0.000
2.376 4.115 0.000
2.376 1.372 3.880
Mn Al La
1 1 1
Direct
0.250 0.250 0.250
0.000 0.000 0.000
0.500 0.500 0.500

# 6
LaMnAl2Mo, optimized geometry, DFT PBE-GGA; space group = P4/mmm, No. 123; formation energy = 0.627 eV per atom
1.0
-2.779 -3.974 -1.139
2.657 -0.587 -4.434
3.259 -2.950 2.343
Al Mo La Mn
2 1 1 1
Direct
0.000 0.000 0.500
0.500 0.000 0.000
0.000 0.000 0.000
0.000 0.500 0.000
0.500 0.500 0.500

# 7
LaMnAl2N, optimized geometry, DFT PBE-GGA; formation energy from raw total energies = 3.46 eV/f.u.; space group = P4/mmm, No. 123
1.0
4.516 0.000 0.000
0.000 5.082 0.000
0.000 0.000 4.516
Al Mn N La
2 1 1 1
Direct
0.500 0.000 0.000
0.000 0.000 0.500
0.000 0.000 0.000
0.500 0.500 0.500
0.000 0.500 0.000

# 8
La2MnAlN, optimized geometry, DFT PBE-GGA; formation energy from raw total energies = -2.75 eV/f.u.; E above lowest polymorph = 0 kJ/mol of formula units; space group = P4/mmm, No. 123
1.0
5.307 0.000 0.000
0.000 5.307 0.000
0.000 0.000 3.683
La N Mn Al
2 1 1 1
Direct
0.000 0.500 0.000
0.500 0.000 0.000
0.000 0.000 0.000
0.000 0.000 0.500
0.500 0.500 0.500

# 9
La2MnAlN, optimized geometry, DFT PBE-GGA; formation energy from raw total energies = 2.20 eV/f.u.; E above lowest polymorph = 477 kJ/mol of formula units; space group = P4/mmm, No. 123
1.0
4.999 0.000 0.000
0.000 4.467 0.000
0.000 0.000 4.999
Mn Al La N
1 1 2 1
Direct
0.000 0.000 0.000
0.000 0.500 0.000
0.000 0.000 0.500
0.500 0.000 0.000
0.500 0.500 0.500

# 10
LaMn2NbAl, optimized geometry, DFT PBE-GGA; space group = P4/mmm, No. 123; formation energy = 0.500 eV per atom
1.0
-1.467 -4.522 -0.503
4.871 -1.595 0.135
-0.275 -0.439 4.752
Mn Al Nb La
2 1 1 1
Direct
0.000 0.000 0.500
0.500 0.000 0.000
0.000 0.500 0.000
0.000 0.000 0.000
0.500 0.500 0.500

# 11
LaMnAlNi3, optimized geometry, DFT PBE-GGA; space group = P-6m2, No. 187; formation energy = -0.358 eV per atom
1.0
-3.417 -3.947 -0.726
4.921 -0.403 -1.843
1.135 -1.604 3.380
Al Ni La Mn
1 3 1 1
Direct
0.333 0.667 0.000
0.501 0.499 0.500
0.501 0.001 0.500
0.999 0.499 0.500
0.000 0.000 0.000
0.667 0.333 0.000

# 12
La2MnAlPb, optimized geometry, DFT PBE-GGA; E above lowest polymorph = 0 kJ/mol of formula units; space group = P4/mmm, No. 123; formation energy = 0.847 eV per atom
1.0
-5.562 2.217 -0.895
-1.652 -4.469 -0.802
-1.196 -0.618 5.903
La Pb Mn Al
2 1 1 1
Direct
0.500 0.000 0.000
0.000 0.000 0.500
0.000 0.000 0.000
0.000 0.500 0.000
0.500 0.500 0.500